(1)
## BaSc2In (GGA-PBE)

Data for crystalline BaSc2In at its relaxed geometry.

Unit cell a=4.785 b=4.785 c=11.561 alpha=78.06 beta=78.06 gamma=90.00
Element x y z (fractional)
Ba 0.000 0.000 0.000
Ba 0.750 0.250 0.500
Sc 0.375 0.413 0.750
Sc 0.587 0.125 0.250
Sc 0.875 0.837 0.750
Sc 0.163 0.625 0.250
In 0.500 0.500 0.000
In 0.250 0.750 0.500

Values from the calculation:
The density of states at the Fermi level is 6.4 states/eV/f.u. For the formation energy, the calculation gives 301 meV per atom. The value obtained for the total energy is -4.03 eV per atom. The magnetization comes out at 0.000 μB per formula unit.

***

(2)
## AcNd3Y6Ho2 (GGA-PBE)

Data for crystalline AcNd3Y6Ho2 at its relaxed geometry.

Unit cell a=6.281 b=6.281 c=11.969 alpha=95.00 beta=95.00 gamma=119.99
Element x y z (fractional)
Y 0.253 0.253 0.749
Y 0.747 0.747 0.251
Y 0.580 0.916 0.749
Y 0.420 0.084 0.251
Y 0.084 0.420 0.251
Y 0.916 0.580 0.749
Nd 0.500 0.500 0.500
Nd 0.167 0.833 0.500
Nd 0.833 0.167 0.500
Ho 0.333 0.667 0.000
Ho 0.667 0.333 0.000
Ac 0.000 0.000 0.000

Values from the calculation:
The density of states at the Fermi level is 15.4 states/eV/f.u. For the formation energy, the calculation gives 23 meV per atom. The value obtained for the total energy is -5.51 eV per atom. The magnetization comes out at 0.000 μB per formula unit.

***

Q: Which value of magnetization does entry 2 give?
A: 0.000 μB per formula unit